(1)
PuScTlBr6 | PBE-GGA | relaxed

```
PuScTlBr6
1.0
-6.131 -3.289 -2.194
5.799 0.231 -4.421
4.779 -12.648 5.607
Pu Sc Tl Br
2 2 2 12
Cartesian
3.017 -4.104 -2.277
1.430 -11.602 1.268
-0.960 -5.278 -1.535
5.406 -10.428 0.526
0.000 0.000 0.000
2.389 -6.324 2.803
0.304 -3.766 -3.391
-3.265 -4.897 -2.902
6.556 -9.028 -1.486
7.712 -10.809 1.893
1.442 -5.708 -0.363
-0.640 -7.609 -2.874
5.937 -12.697 -0.853
-2.109 -6.678 0.477
5.087 -8.097 1.866
-1.490 -3.009 -0.156
3.004 -9.998 -0.646
4.143 -11.941 2.383
```

## Properties
The formation energy from raw total energies is -1.446 eV/atom. As for the crystal system: trigonal.

***

(2)
Pu2SeBr | PBE-GGA | relaxed

```
Pu2SeBr
1.0
-0.900 -3.191 2.592
2.963 -1.522 2.571
-1.179 2.813 6.469
Se Br Pu
1 1 2
Cartesian
0.000 0.000 0.000
0.442 -0.950 5.816
0.242 -0.525 2.854
0.642 -1.375 8.778
```

## Properties
The energy relative to the lowest polymorph listed for this composition is 0.0 meV/atom. The formation energy from raw total energies is -1.167 eV/atom. As for the crystal system: trigonal.

***

(3)
Pu2SeBr | PBE-GGA | relaxed

```
Pu2SeBr
1.0
3.629 0.000 0.000
0.000 3.629 0.000
0.000 0.000 7.382
Se Br Pu
1 1 2
Cartesian
1.815 1.815 0.000
1.815 1.815 3.691
0.000 0.000 5.690
0.000 0.000 1.692
```

## Properties
The energy relative to the lowest polymorph listed for this composition is 108.4 meV/atom. The formation energy from raw total energies is -1.059 eV/atom. As for the crystal system: tetragonal.